VASP calculation (PBE) on a relaxed structure of Ac5HoSe6.

For the raw formation energy, the calculation gives -1824.3 meV/atom. The value obtained for the spin magnetization is 0.000 μB per atom. For the density of states at the Fermi level, the calculation gives 11.67 states/eV/cell. The value obtained for the mass density is 8.1 g/cm3.

The structure belongs to space group C2/m (No. 12); the cell edges are 7.6182, 13.2227 and 7.6262 Å and the angles 90.00°, 109.72° and 90.00°. The asymmetric unit holds Ac at (0.0000, 0.0000, 0.0000), Ac at (0.0000, 0.1655, 0.5000), Ac at (0.0000, 0.3264, 0.0000), Ho at (0.0000, 0.5000, 0.5000), Se at (0.2329, 0.5000, 0.2556) and Se at (0.2353, 0.3423, 0.7353).